# La4Nd3Tm2 | Alexandria | GGA-PBE | optimized geometry
# Polymorph energy (0 for the lowest one), kJ per mole of atoms: 5.98
# Total magnetization, μB/cell: 0.00
# Theoretical density, g/cm3: 6.84
# VASP energy, eV per atom: -4.686
# Energy relative to the elements, eV per atom: 0.087
data_La4Nd3Tm2
_symmetry_space_group_name_H-M 'C 1 2/m 1'
_symmetry_Int_Tables_number 12
_symmetry_space_group_name_Hall '-C 2y'
_cell_length_a 13.0179
_cell_length_b 3.7318
_cell_length_c 14.6950
_cell_angle_alpha 90.00
_cell_angle_beta 115.64
_cell_angle_gamma 90.00
loop_
_atom_site_label
_atom_site_type_symbol
_atom_site_fract_x
_atom_site_fract_y
_atom_site_fract_z
La1 La 0.2181 0.0000 0.1042
La2 La 0.2201 0.5000 0.3724
Nd1 Nd 0.0000 0.5000 0.5000
Nd2 Nd 0.0009 0.5000 0.8824
Tm1 Tm 0.0529 0.0000 0.7101